Here is Re2PbSeCl after structural relaxation from Alexandria via LeMat-Bulk. Energies are from PBE-GGA.

Unit cell a=4.376 b=4.376 c=6.029 alpha=90.00 beta=90.00 gamma=90.00
Space group P4/mmm (No. 123)
Inequivalent atoms, fractional coordinates:
Re: 0.000 0.500 0.000 [2 per cell]
Pb: 0.000 0.000 0.500 [1 per cell]
Se: 0.500 0.500 0.500 [1 per cell]
Cl: 0.000 0.000 0.000 [1 per cell]

Properties
electronic total energy = -25.41 eV/f.u.
E_form (uncorrected) = 1.70 eV per atom

---

Here is Ti4Sb after structural relaxation from Alexandria via LeMat-Bulk. Energies are from PBE-GGA.

Unit cell a=5.696 b=5.696 c=12.085 alpha=90.00 beta=90.00 gamma=90.00
Space group I4_1/a (No. 88, origin choice 2)
Inequivalent atoms, fractional coordinates:
Ti: 0.138 0.047 0.202 [16 per cell]
Sb: 0.000 0.250 0.625 [4 per cell]

Properties
electronic total energy = -36.42 eV/f.u.
E_form (uncorrected) = -0.14 eV per atom
energy relative to the lowest polymorph listed for this composition = 104 meV per atom

---

Here is TePbI6 after structural relaxation from Alexandria via LeMat-Bulk. Energies are from PBE-GGA.

Unit cell a=7.658 b=13.827 c=7.616 alpha=90.00 beta=107.97 gamma=90.00
Space group C2/m (No. 12)
Inequivalent atoms, fractional coordinates:
Te: 0.000 0.000 0.000 [2 per cell]
Pb: 0.000 0.500 0.500 [2 per cell]
I: 0.228 0.156 0.232 [8 per cell]
I: 0.242 0.000 0.761 [4 per cell]

Properties
electronic total energy = -18.16 eV/f.u.
E_form (uncorrected) = -0.25 eV per atom
energy relative to the lowest polymorph listed for this composition = 0 meV per atom

---

- Which value of E_form (uncorrected) does entry 2 give?
  -0.14 eV per atom